The following is a PBE-GGA calculation of a relaxed structure of TcAg2Hg, from Alexandria.

abc: 2.8270 2.8270 8.8698
angles: 90.00 90.00 90.00
Last column: nearest neighbours and their distance in Å.
Positions (direct):
1 Tc 0.0000 0.0000 0.0000  4 Tc 2.83, 4 Ag 2.89, 4 Hg 2.99
2 Ag 0.0000 0.0000 0.4838  8 Ag 2.83-2.97, 4 Hg 3.09
3 Ag 0.5000 0.5000 0.2356  8 Ag 2.83-2.97, 4 Tc 2.89
4 Hg 0.5000 0.5000 0.7496  4 Hg 2.83, 4 Tc 2.99, 4 Ag 3.09

ΔE_f	436	meV per atom
space group	P4mm, No. 99
VASP energy	-14.62	eV/cell

=====

The following is a PBE-GGA calculation of a relaxed structure of HoTiPd, from Alexandria.

abc: 12.4945 3.4642 3.4642
angles: 60.26 90.00 90.00
Last column: nearest neighbours and their distance in Å.
Positions (direct):
1 Ho 0.1689 0.0000 0.0000  3 Pd 2.91, 3 Ti 3.20
2 Ho 0.8311 0.0000 0.0000  3 Pd 2.91, 3 Ti 3.20
3 Ti 0.3688 0.6652 0.6652  3 Pd 2.59
4 Ti 0.6312 0.6652 0.6652  3 Pd 2.59
5 Pd 0.0000 0.6653 0.6653  6 Ho 2.91
6 Pd 0.5000 0.9993 0.9993  6 Ti 2.59

ΔE_f	-151	meV per atom
space group	Amm2, No. 38
VASP energy	-36.24	eV/cell

=====

The following is a PBE-GGA calculation of a relaxed structure of LaTbPmEr, from Alexandria.

abc: 3.4495 5.6916 6.8432
angles: 90.00 90.00 90.00
Last column: nearest neighbours and their distance in Å.
Positions (direct):
1 La 0.0000 0.0000 0.0000  2 Pm 3.32-3.52, 2 Er 3.36, 2 La 3.45
2 Tb 0.5000 0.5000 0.2518  2 Tb 3.45, 4 Pm 3.69, 4 La 3.75, 2 Er 3.76
3 Pm 0.0000 0.0000 0.4849  2 La 3.32-3.52, 2 Er 3.34, 2 Pm 3.45, 4 Tb 3.69
4 Er 0.0000 0.5000 0.7394  2 Pm 3.34, 2 La 3.36, 2 Er 3.45

ΔE_f	176	meV per atom
space group	Pmm2, No. 25
VASP energy	-18.17	eV/cell
energy above the most stable polymorph in this dataset	0.071	eV per atom

=====

The following is a PBE-GGA calculation of a relaxed structure of InTe2Pt, from Alexandria.

abc: 3.8974 3.8974 7.2951
angles: 90.00 90.00 90.00
Last column: nearest neighbours and their distance in Å.
Positions (direct):
1 In 0.0000 0.0000 0.0000  5 Te 2.93-2.99
2 Te 0.0000 0.0000 0.4013  4 Pt 2.80, 1 In 2.93
3 Te 0.5000 0.5000 0.8404  1 Pt 2.72, 4 In 2.99
4 Pt 0.5000 0.5000 0.4682  5 Te 2.72-2.80

space group	P4mm, No. 99
VASP energy	-15.46	eV/cell
energy relative to the elements, uncorrected	-0.100	eV per atom

=====

The following is a PBE-GGA calculation of a relaxed structure of BaHg2Sb2, from Alexandria.

abc: 8.6697 8.6697 4.2341
angles: 90.00 90.00 90.00
Last column: nearest neighbours and their distance in Å.
Positions (direct):
1 Ba 0.0000 0.0000 0.0000  4 Sb 3.45
2 Ba 0.5000 0.5000 0.0000  4 Sb 3.45
3 Hg 0.1649 0.3351 0.5000  6 Sb 3.28-3.37
4 Hg 0.3351 0.8351 0.5000  6 Sb 3.28-3.37
5 Hg 0.6649 0.1649 0.5000  6 Sb 3.28-3.37
6 Hg 0.8351 0.6649 0.5000  6 Sb 3.28-3.37
7 Sb 0.1208 0.6208 0.0000  1 Sb 2.96, 4 Hg 3.28
8 Sb 0.3792 0.1208 0.0000  1 Sb 2.96, 4 Hg 3.28
9 Sb 0.6208 0.8792 0.0000  1 Sb 2.96, 4 Hg 3.28
10 Sb 0.8792 0.3792 0.0000  1 Sb 2.96, 4 Hg 3.28

space group	P4/mbm, No. 127
VASP energy	-23.61	eV/cell
energy relative to the elements, uncorrected	-0.207	eV per atom

=====

The following is a PBE-GGA calculation of a relaxed structure of TbScAs, from Alexandria.

abc: 7.7836 7.7836 7.7836
angles: 98.77 98.77 98.77
Last column: nearest neighbours and their distance in Å.
Positions (direct):
1 Tb 0.1850 0.4295 0.5189  2 As 2.83-2.88
2 Tb 0.4295 0.5189 0.1850  2 As 2.83-2.88
3 Tb 0.4811 0.8150 0.5705  2 As 2.83-2.88
4 Tb 0.5189 0.1850 0.4295  2 As 2.83-2.88
5 Tb 0.5705 0.4811 0.8150  2 As 2.83-2.88
6 Tb 0.8150 0.5705 0.4811  2 As 2.83-2.88
7 Sc 0.0640 0.6938 0.9148  4 As 2.69-2.89
8 Sc 0.0852 0.9360 0.3062  4 As 2.69-2.89
9 Sc 0.3062 0.0852 0.9360  4 As 2.69-2.89
10 Sc 0.6938 0.9148 0.0640  4 As 2.69-2.89
11 Sc 0.9148 0.0640 0.6938  4 As 2.69-2.89
12 Sc 0.9360 0.3062 0.0852  4 As 2.69-2.89
13 As 0.1326 0.8257 0.6279  4 Sc 2.69-2.89, 2 Tb 2.83-2.88
14 As 0.1743 0.3721 0.8674  4 Sc 2.69-2.89, 2 Tb 2.83-2.88
15 As 0.3721 0.8674 0.1743  4 Sc 2.69-2.89, 2 Tb 2.83-2.88
16 As 0.6279 0.1326 0.8257  4 Sc 2.69-2.89, 2 Tb 2.83-2.88
17 As 0.8257 0.6279 0.1326  4 Sc 2.69-2.89, 2 Tb 2.83-2.88
18 As 0.8674 0.1743 0.3721  4 Sc 2.69-2.89, 2 Tb 2.83-2.88

ΔE_f	-793	meV per atom
space group	R-3, No. 148
VASP energy	-107.93	eV/cell

=====

Table of volume (Å³ per cell), in record order: 70.89; 130.19; 134.35; 110.81; 318.25; 453.10